Density functional theory data (PBE with a Hubbard U) for a relaxed Na2DyNi3F12 crystal.

```
Na2DyNi3F12
1.0
3.664 2.115 5.239
-3.664 2.115 5.239
0.000 -4.230 5.239
Na Dy Ni F
2 1 3 12
direct
0.136 0.136 0.136
0.864 0.864 0.864
0.500 0.500 0.500
0.000 0.500 0.500
0.500 0.000 0.500
0.500 0.500 0.000
0.096 0.639 0.639
0.238 0.238 0.610
0.238 0.610 0.238
0.361 0.361 0.904
0.361 0.904 0.361
0.390 0.762 0.762
0.610 0.238 0.238
0.639 0.096 0.639
0.639 0.639 0.096
0.762 0.390 0.762
0.762 0.762 0.390
0.904 0.361 0.361
```

Total magnetic moment in μB per formula unit: 5.0
Energy in eV for the cell shown: -83.5
SG: R-3m, No. 166